(1)
Below is Pm2SnIr2 after structural relaxation, with properties calculated at the PBE level.

Unit cell a=5.8326 b=5.8326 c=8.1546 alpha=102.31 beta=102.31 gamma=58.28
Last column: nearest neighbours and their distance in Å.
Atoms (fractional coordinates):
Pm 0.0089 0.6976 0.8514  6 Ir 3.00-3.19
Pm 0.3024 0.9911 0.6486  6 Ir 3.00-3.19
Pm 0.6976 0.0089 0.3514  6 Ir 3.00-3.19
Pm 0.9911 0.3024 0.1486  6 Ir 3.00-3.19
Sn 0.3441 0.6559 0.2500  4 Ir 2.75-2.78
Sn 0.6559 0.3441 0.7500  4 Ir 2.75-2.78
Ir 0.2206 0.4983 0.5018  1 Ir 2.56, 2 Sn 2.75-2.78
Ir 0.4983 0.2206 0.0018  1 Ir 2.56, 2 Sn 2.75-2.78
Ir 0.5017 0.7794 0.9982  1 Ir 2.56, 2 Sn 2.75-2.78
Ir 0.7794 0.5017 0.4982  1 Ir 2.56, 2 Sn 2.75-2.78

Output
Offset from the most stable computed form: 0 meV/atom
Spin magnetization: 0.00 Bohr magnetons per cell

---

(2)
Below is KCuS2Cl after structural relaxation, with properties calculated at the PBE level.

Unit cell a=5.8209 b=5.8209 c=5.6440 alpha=90.00 beta=90.00 gamma=90.00
Last column: nearest neighbours and their distance in Å.
Atoms (fractional coordinates):
K 0.0000 0.0000 0.0000  2 Cl 2.82, 4 S 2.91
Cu 0.5000 0.5000 0.5000  8 S 4.05, 4 Cl 4.12
S 0.0000 0.5000 0.0000  2 K 2.91
S 0.5000 0.0000 0.0000  2 K 2.91
Cl 0.0000 0.0000 0.5000  2 K 2.82

Output
Offset from the most stable computed form: 1306 meV/atom
Spin magnetization: 3.00 Bohr magnetons per cell
Raw formation energy: 0.95 eV/atom

---

(3)
Below is In2H2I after structural relaxation, with properties calculated at the PBE level.

Unit cell a=6.6009 b=6.6009 c=6.6009 alpha=143.26 beta=143.26 gamma=52.94
Last column: nearest neighbours and their distance in Å.
Atoms (fractional coordinates):
In 0.1652 0.1652 0.0000  4 H 2.31
In 0.8348 0.8348 0.0000  4 H 2.31
H 0.2500 0.7500 0.5000  4 In 2.31
H 0.7500 0.2500 0.5000  4 In 2.31
I 0.5000 0.5000 0.0000  8 In 3.53, 8 H 3.61

Output
Offset from the most stable computed form: 17 meV/atom
Spin magnetization: 0.00 Bohr magnetons per cell

---

(4)
Below is VH2W after structural relaxation, with properties calculated at the PBE level.

Unit cell a=4.8945 b=4.8945 c=4.8945 alpha=34.39 beta=34.39 gamma=34.39
Last column: nearest neighbours and their distance in Å.
Atoms (fractional coordinates):
V 0.0000 0.0000 0.0000  6 H 1.98
H 0.2566 0.2566 0.2566  3 V 1.98, 3 W 2.08
H 0.7434 0.7434 0.7434  3 V 1.98, 3 W 2.08
W 0.5000 0.5000 0.5000  6 H 2.08

Output
Offset from the most stable computed form: 0 meV/atom
Spin magnetization: 0.00 Bohr magnetons per cell

---

(5)
Below is PmNdNp2S4 after structural relaxation, with properties calculated at the PBE level.

Unit cell a=6.8829 b=3.9781 c=6.9058 alpha=90.00 beta=109.44 gamma=90.00
Last column: nearest neighbours and their distance in Å.
Atoms (fractional coordinates):
Pm 0.0000 0.0000 0.0000  6 S 2.86
Nd 0.0000 0.5000 0.5000  6 S 2.87
Np 0.5000 0.0000 0.5000  6 S 2.77
Np 0.5000 0.5000 0.0000  6 S 2.76
S 0.2625 0.5000 0.2529  3 Np 2.76-2.77, 2 Pm 2.86, 1 Nd 2.87
S 0.2636 0.0000 0.7558  3 Np 2.76-2.77, 1 Pm 2.86, 2 Nd 2.87
S 0.7364 0.0000 0.2442  3 Np 2.76-2.77, 1 Pm 2.86, 2 Nd 2.87
S 0.7375 0.5000 0.7471  3 Np 2.76-2.77, 2 Pm 2.86, 1 Nd 2.87

Output
Spin magnetization: 8.57 Bohr magnetons per cell
Raw formation energy: -1.70 eV/atom

---

(6)
Below is BaPuSO2 after structural relaxation, with properties calculated at the PBE level.

Unit cell a=4.3494 b=4.3494 c=5.6858 alpha=90.00 beta=90.00 gamma=90.00
Last column: nearest neighbours and their distance in Å.
Atoms (fractional coordinates):
Ba 0.0000 0.0000 0.0000  4 O 2.87, 4 S 3.17
Pu 0.5000 0.5000 0.3833  4 O 2.20
S 0.5000 0.5000 0.8676  2 Pu 2.75-2.93
O 0.0000 0.5000 0.3302  2 Pu 2.20
O 0.5000 0.0000 0.3302  2 Pu 2.20

Output
Spin magnetization: 4.00 Bohr magnetons per cell
Raw formation energy: -2.59 eV/atom